[1]
Computed, not measured: a geometry-optimized K2ErCo3F12 structure at the GGA+U level of DFT.

Lattice parameters (Å, degrees): 7.508 7.508 7.508 59.55 59.55 59.55
Fractional positions:
1 K 0.611 0.611 0.611
2 K 0.389 0.389 0.389
3 Er 0.000 0.000 0.000
4 Co 0.500 0.000 0.000
5 Co 0.000 0.500 0.000
6 Co 0.000 0.000 0.500
7 F 0.313 0.313 0.919
8 F 0.913 0.913 0.348
9 F 0.348 0.913 0.913
10 F 0.919 0.313 0.313
11 F 0.913 0.348 0.913
12 F 0.313 0.919 0.313
13 F 0.687 0.687 0.081
14 F 0.087 0.087 0.652
15 F 0.652 0.087 0.087
16 F 0.081 0.687 0.687
17 F 0.087 0.652 0.087
18 F 0.687 0.081 0.687

[2]
Computed, not measured: a geometry-optimized Tl2SnWO6 structure at the GGA+U level of DFT.

Lattice parameters (Å, degrees): 5.802 5.802 8.204 90.00 90.00 90.00
Fractional positions:
1 Tl 0.500 0.750 0.250
2 Tl 0.000 0.250 0.750
3 Tl 0.500 0.750 0.750
4 Tl 0.000 0.250 0.250
5 Sn 0.500 0.250 0.500
6 Sn 0.000 0.750 0.000
7 W 0.000 0.750 0.500
8 W 0.500 0.250 0.000
9 O 0.500 0.250 0.240
10 O 0.500 0.250 0.760
11 O 0.000 0.750 0.260
12 O 0.000 0.750 0.740
13 O 0.240 0.990 0.500
14 O 0.760 0.990 0.500
15 O 0.240 0.509 0.500
16 O 0.760 0.509 0.500
17 O 0.740 0.491 0.000
18 O 0.260 0.491 0.000
19 O 0.260 0.010 0.000
20 O 0.740 0.010 0.000

| no. | spin magnetization (μB/f.u.) | E (eV/atom) |
| --- | --- | --- |
| 1 | 10.0 | -5.15 |
| 2 | 0.0 | -5.98 |